Density functional theory data (PBE) for crystalline MgCr4Te at its relaxed geometry.

Density in g cm⁻³: 6.947
Uncorrected energy in eV per formula unit: -40.53
Density of states at the Fermi level in states/eV/cell: 22.80
Raw formation energy in eV/atom: 0.45

abc: 7.007 7.007 7.007
angles: 90.00 90.00 90.00
Space group F-43m (No. 216)
Asymmetric unit:
Mg (0.000, 0.000, 0.000) x4
Cr (0.126, 0.126, 0.374) x16
Te (0.250, 0.250, 0.750) x4